No. 1
# Nd8GeTe4As3

A geometry-optimized Nd8GeTe4As3 structure (GGA-PBE, the Alexandria database).

a b c (Å): 8.710 8.886 8.710
angles (deg): 119.35 120.00 90.00
Element x y z (fractional)
Nd 0.740 0.721 0.481
Nd 0.760 0.278 0.520
Nd 0.240 0.722 0.480
Nd 0.240 0.722 0.982
Nd 0.760 0.278 0.018
Nd 0.260 0.279 0.519
Nd 0.743 0.722 0.982
Nd 0.257 0.278 0.018
As 0.500 0.500 0.500
As 0.500 0.500 0.000
As 0.000 0.500 0.500
Te 0.500 0.000 0.000
Te 0.000 0.000 0.500
Te 0.000 0.000 0.000
Te 0.500 0.000 0.500
Ge 0.000 0.500 0.000

Properties
uncorrected energy = -5.801 eV/atom
ΔE_f (raw) = -1471 meV/atom
space group = No. 166
Fermi-level density of states = 0.35 states/eV/atom
mass density = 6.77 g/cm³


No. 2
# Nd8Ge3Te4As

A geometry-optimized Nd8Ge3Te4As structure (GGA-PBE, the Alexandria database).

a b c (Å): 8.751 8.899 8.751
angles (deg): 119.45 120.00 90.00
Element x y z (fractional)
Ge 0.500 0.500 0.500
Ge 0.500 0.500 0.000
Ge 0.000 0.500 0.500
As 0.000 0.500 0.000
Nd 0.742 0.725 0.484
Nd 0.242 0.723 0.484
Nd 0.261 0.277 0.019
Nd 0.739 0.723 0.981
Nd 0.758 0.277 0.516
Nd 0.242 0.723 0.981
Nd 0.758 0.277 0.019
Nd 0.258 0.275 0.516
Te 0.000 0.000 0.000
Te 0.500 0.000 0.500
Te 0.500 0.000 0.000
Te 0.000 0.000 0.500

Properties
uncorrected energy = -5.638 eV/atom
ΔE_f (raw) = -1312 meV/atom
space group = No. 166
Fermi-level density of states = 0.23 states/eV/atom
mass density = 6.69 g/cm³


No. 3
# Nd6Ge2TeAs3

A geometry-optimized Nd6Ge2TeAs3 structure (GGA-PBE, the Alexandria database).

a b c (Å): 4.279 8.724 9.676
angles (deg): 103.28 102.77 90.00
Element x y z (fractional)
Ge 0.833 0.666 0.666
Ge 0.167 0.334 0.334
Nd 0.001 0.266 0.002
Nd 0.666 0.587 0.333
Nd 0.672 0.084 0.344
Nd 0.999 0.734 0.998
Nd 0.328 0.916 0.656
Nd 0.334 0.413 0.667
As 0.500 0.500 0.000
As 0.836 0.167 0.672
As 0.164 0.833 0.328
Te 0.500 0.000 0.000

Properties
uncorrected energy = -5.835 eV/atom
ΔE_f (raw) = -1258 meV/atom
space group = No. 12
Fermi-level density of states = 0.42 states/eV/atom
mass density = 6.61 g/cm³


No. 4
# Nd6Ge2Te3As

A geometry-optimized Nd6Ge2Te3As structure (GGA-PBE, the Alexandria database).

a b c (Å): 4.374 8.894 9.904
angles (deg): 104.17 102.76 90.00
Element x y z (fractional)
Te 0.166 0.834 0.332
Te 0.834 0.166 0.668
Te 0.500 0.500 0.000
Nd 0.338 0.901 0.677
Nd 0.007 0.237 0.014
Nd 0.328 0.431 0.655
Nd 0.662 0.099 0.323
Nd 0.993 0.763 0.986
Nd 0.672 0.569 0.345
Ge 0.166 0.332 0.333
Ge 0.834 0.668 0.667
As 0.500 0.000 0.000

Properties
uncorrected energy = -5.666 eV/atom
ΔE_f (raw) = -1340 meV/atom
space group = No. 12
Fermi-level density of states = 0.20 states/eV/atom
mass density = 6.70 g/cm³


No. 5
# Nd4GeTeAs2

A geometry-optimized Nd4GeTeAs2 structure (GGA-PBE, the Alexandria database).

a b c (Å): 4.307 7.529 7.539
angles (deg): 70.94 90.00 90.00
Element x y z (fractional)
Nd 0.500 0.757 0.255
Nd 0.000 0.235 0.267
Nd 0.000 0.765 0.733
Nd 0.500 0.243 0.745
Ge 0.000 0.500 0.500
As 0.000 0.000 0.000
As 0.500 0.000 0.500
Te 0.500 0.500 0.000

Properties
uncorrected energy = -5.864 eV/atom
ΔE_f (raw) = -1348 meV/atom
space group = No. 10
Fermi-level density of states = 0.18 states/eV/atom
mass density = 6.66 g/cm³


No. 6
# NdThGeAs

A geometry-optimized NdThGeAs structure (GGA-PBE, the Alexandria database).

a b c (Å): 4.289 4.289 7.422
angles (deg): 73.21 73.21 60.00
Element x y z (fractional)
As 0.445 0.445 0.664
Ge 0.943 0.943 0.172
Nd 0.694 0.694 0.919
Th 0.195 0.195 0.416

Properties
uncorrected energy = -6.492 eV/atom
formation enthalpy at 0 K = -1.13 eV per atom
space group = No. 160
Fermi-level density of states = 0.40 states/eV/atom
mass density = 7.81 g/cm³


No. 7
# Ni8Ge2As

A geometry-optimized Ni8Ge2As structure (GGA-PBE, the Alexandria database).

a b c (Å): 3.850 5.617 6.799
angles (deg): 110.18 106.45 90.00
Element x y z (fractional)
Ni 0.024 0.767 0.049
Ni 0.818 0.749 0.636
Ni 0.667 0.931 0.334
Ni 0.333 0.069 0.666
Ni 0.182 0.251 0.364
Ni 0.976 0.233 0.951
Ni 0.596 0.446 0.193
Ni 0.404 0.554 0.807
As 0.500 0.000 0.000
Ge 0.812 0.325 0.625
Ge 0.188 0.675 0.375

Properties
uncorrected energy = -5.684 eV/atom
formation enthalpy at 0 K = -0.22 eV per atom
space group = No. 12
energy above the lowest structure with this stoichiometry = 0 kJ/mol of formula units
Fermi-level density of states = 0.70 states/eV/atom
mass density = 8.70 g/cm³


No. 8
# NiGe3As

A geometry-optimized NiGe3As structure (GGA-PBE, the Alexandria database).

a b c (Å): 4.600 4.600 4.600
angles (deg): 90.00 90.00 90.00
Element x y z (fractional)
Ge 0.500 0.000 0.000
Ge 0.000 0.000 0.500
Ge 0.000 0.500 0.000
As 0.500 0.500 0.500
Ni 0.000 0.000 0.000

Properties
uncorrected energy = -4.626 eV/atom
formation enthalpy at 0 K = 0.23 eV per atom
space group = No. 221
energy above the lowest structure with this stoichiometry = 0 kJ/mol of formula units
Fermi-level density of states = 0.39 states/eV/atom
mass density = 6.00 g/cm³


No. 9
# Ni4Ge2As

A geometry-optimized Ni4Ge2As structure (GGA-PBE, the Alexandria database).

a b c (Å): 4.353 4.353 6.765
angles (deg): 71.23 71.23 90.00
Element x y z (fractional)
Ni 0.186 0.186 0.627
Ni 0.814 0.814 0.373
Ni 0.500 0.000 0.000
Ni 0.000 0.500 0.000
Ge 0.625 0.625 0.750
Ge 0.375 0.375 0.250
As 0.000 0.000 0.000

Properties
uncorrected energy = -4.948 eV/atom
formation enthalpy at 0 K = 0.34 eV per atom
space group = No. 139
Fermi-level density of states = 0.74 states/eV/atom
mass density = 6.62 g/cm³


No. 10
# Ni8Ge2As

A geometry-optimized Ni8Ge2As structure (GGA-PBE, the Alexandria database).

a b c (Å): 3.715 6.571 6.598
angles (deg): 119.86 106.35 90.00
Element x y z (fractional)
Ni 0.147 0.147 0.295
Ni 0.662 0.431 0.324
Ni 0.662 0.894 0.324
Ni 0.000 0.300 0.000
Ni 0.338 0.106 0.676
Ni 0.000 0.700 0.000
Ni 0.338 0.569 0.676
Ni 0.853 0.853 0.705
As 0.500 0.000 0.000
Ge 0.182 0.682 0.365
Ge 0.818 0.318 0.635

Properties
uncorrected energy = -5.679 eV/atom
formation enthalpy at 0 K = -0.21 eV per atom
space group = No. 71
energy above the lowest structure with this stoichiometry = 5 kJ/mol of formula units
Fermi-level density of states = 0.56 states/eV/atom
mass density = 8.67 g/cm³


No. 11
# Ni2GeAs2

A geometry-optimized Ni2GeAs2 structure (GGA-PBE, the Alexandria database).

a b c (Å): 7.257 7.257 2.863
angles (deg): 90.00 90.00 90.00
Element x y z (fractional)
Ge 0.500 0.500 0.000
Ge 0.000 0.000 0.000
As 0.847 0.347 0.500
As 0.347 0.153 0.500
As 0.153 0.653 0.500
As 0.653 0.847 0.500
Ni 0.134 0.366 0.000
Ni 0.634 0.134 0.000
Ni 0.366 0.866 0.000
Ni 0.866 0.634 0.000

Properties
uncorrected energy = -5.062 eV/atom
formation enthalpy at 0 K = 0.03 eV per atom
space group = No. 127
Fermi-level density of states = 0.58 states/eV/atom
mass density = 7.49 g/cm³


No. 12
# Ni4GeAs2

A geometry-optimized Ni4GeAs2 structure (GGA-PBE, the Alexandria database).

a b c (Å): 4.334 4.334 6.811
angles (deg): 71.45 71.45 90.00
Element x y z (fractional)
Ge 0.000 0.000 0.000
Ni 0.000 0.500 0.000
Ni 0.500 0.000 0.000
Ni 0.812 0.812 0.376
Ni 0.188 0.188 0.624
As 0.374 0.374 0.253
As 0.626 0.626 0.747

Properties
uncorrected energy = -4.900 eV/atom
formation enthalpy at 0 K = 0.39 eV per atom
space group = No. 139
energy above the lowest structure with this stoichiometry = 303 kJ/mol of formula units
Fermi-level density of states = 0.60 states/eV/atom
mass density = 6.65 g/cm³


Look up the uncorrected energy of the seventh one. -5.684 eV/atom


The highest mass density belongs to which entry? number 7


Look up the Fermi-level density of states of the fourth one. 0.20 states/eV/atom